1.
This record from Alexandria describes a relaxed Zr2FeOs crystal. The functional is PBEsol.

Cell lengths 4.512, 4.512, 3.205 Å; angles 90.00, 90.00, 90.00 degrees
Space group P4/mmm (No. 123)
Asymmetric unit:
Zr1 0.000 0.500 0.000 [2 per cell]
Fe1 0.000 0.000 0.500 [1 per cell]
Os1 0.500 0.500 0.500 [1 per cell]

The formation energy is -0.3743 eV/atom.

---

2.
This record from Alexandria describes a relaxed ScAg2W crystal. The functional is PBEsol.

Cell lengths 9.564, 2.764, 5.210 Å; angles 90.00, 99.00, 90.00 degrees
Space group Cm (No. 8)
Asymmetric unit:
Sc1 0.000 0.000 0.000 [2 per cell]
Ag1 0.007 0.500 0.506 [2 per cell]
Ag2 0.258 0.500 0.251 [2 per cell]
W1 0.258 0.000 0.738 [2 per cell]

The excess energy over the best structure of this formula in the dataset is 32.3 meV per atom. The formation energy is 0.3173 eV/atom.

---

3.
This record from Alexandria describes a relaxed Li6Fe3Co3O16 crystal. The functional is PBEsol.

Cell lengths 9.623, 5.539, 9.690 Å; angles 90.00, 90.68, 90.00 degrees
Space group Cm (No. 8)
Asymmetric unit:
Li1 0.000 0.000 0.000 [2 per cell]
Li2 0.001 0.000 0.394 [2 per cell]
Li3 0.171 0.500 0.397 [2 per cell]
Li4 0.175 0.500 0.900 [2 per cell]
Li5 0.333 0.000 0.498 [2 per cell]
Li6 0.337 0.000 0.898 [2 per cell]
Fe1 0.083 0.246 0.682 [4 per cell]
Fe2 0.491 0.000 0.181 [2 per cell]
Co1 0.250 0.247 0.181 [4 per cell]
Co2 0.339 0.500 0.680 [2 per cell]
O1 0.004 0.000 0.788 [2 per cell]
O2 0.013 0.500 0.785 [2 per cell]
O3 0.087 0.266 0.281 [4 per cell]
O4 0.152 0.000 0.573 [2 per cell]
O5 0.162 0.500 0.086 [2 per cell]
O6 0.169 0.500 0.584 [2 per cell]
O7 0.181 0.000 0.076 [2 per cell]
O8 0.247 0.265 0.780 [4 per cell]
O9 0.324 0.500 0.280 [2 per cell]
O10 0.334 0.000 0.289 [2 per cell]
O11 0.408 0.228 0.072 [4 per cell]
O12 0.427 0.270 0.574 [4 per cell]

For the uncorrected formation energy, the calculation gives -1390.1 meV per atom.

---

4.
This record from Alexandria describes a relaxed ZrHS3 crystal. The functional is PBEsol.

Cell lengths 4.079, 4.079, 4.079 Å; angles 90.00, 90.00, 90.00 degrees
Space group Pm-3m (No. 221)
Asymmetric unit:
Zr1 0.000 0.000 0.000 [1 per cell]
H1 0.500 0.500 0.500 [1 per cell]
S1 0.000 0.500 0.500 [3 per cell]

As for the energy: -5.087 eV per atom.

---

no.,N(E_F) (states/eV/atom),calculated volume (Å³/cell)
1,0.35,65
2,0.67,136
3,0.28,516
4,0.67,68